Arrangement P

Crystalline Pm2PrY3 at its relaxed geometry. Source: the Alexandria database, functional PBE.

Cell lengths 9.6023, 13.3394, 6.4363 Å; angles 90.00, 90.00, 90.00 degrees
Last column: nearest neighbours and their distance in Å.
Space group Cmc2_1 (No. 36)
Asymmetric unit:
Pm 0.1805 0.0581 0.0000 x8  4 Y 3.38-3.56, 3 Pm 3.47-3.57
Pr 0.0000 0.3240 0.2229 x4  6 Y 3.21-3.44
Y 0.0000 0.4184 0.7483 x4  3 Pr 3.30-3.61, 2 Pm 3.47
Y 0.1822 0.1946 0.5448 x8  2 Pr 3.21-3.27, 3 Pm 3.38-3.56, 1 Y 3.50



Arrangement Q

Crystalline Pm2PrY3 at its relaxed geometry. Source: the Alexandria database, functional PBE.

Cell lengths 9.0688, 9.9604, 9.0778 Å; angles 90.00, 101.48, 90.00 degrees
Last column: nearest neighbours and their distance in Å.
Space group C2/c (No. 15)
Asymmetric unit:
Pm 0.1234 0.2475 0.1260 x8  2 Pm 3.48-3.55, 9 Y 3.71-3.78, 3 Pr 3.74-3.80
Pr 0.0000 0.4134 0.7500 x4  5 Y 3.31-3.51
Y 0.0000 0.0812 0.7500 x4  1 Pr 3.31, 4 Y 3.32-3.52
Y 0.2478 0.4168 0.4983 x8  2 Pr 3.31-3.51, 3 Y 3.32-3.52



arrangement Q has the most favorable energy; the next structure is 146 meV/atom above.



Arrangement P

Crystalline Pm4PrY5 at its relaxed geometry. Source: the Alexandria database, functional PBE.

Cell lengths 3.6285, 3.6285, 25.3931 Å; angles 90.00, 90.00, 90.00 degrees
Last column: nearest neighbours and their distance in Å.
Space group P4/mmm (No. 123)
Asymmetric unit:
Pm 0.0000 0.0000 0.0997 x2  8 Y 3.60, 4 Pm 3.63
Pm 0.0000 0.0000 0.2991 x2  8 Y 3.60-3.61, 4 Pm 3.63
Pr 0.0000 0.0000 0.5000 x1  4 Pr 3.63, 8 Y 3.63
Y 0.5000 0.5000 0.0000 x1  8 Pm 3.60, 4 Y 3.63
Y 0.5000 0.5000 0.1993 x2  8 Pm 3.60-3.61, 4 Y 3.63
Y 0.5000 0.5000 0.3987 x2  4 Pm 3.60, 4 Y 3.63, 4 Pr 3.63



Arrangement Q

Crystalline Pm4PrY5 at its relaxed geometry. Source: the Alexandria database, functional PBE.

Cell lengths 3.5752, 8.9050, 11.1945 Å; angles 89.88, 89.96, 78.46 degrees
Last column: nearest neighbours and their distance in Å.
Space group P-1 (No. 2)
Asymmetric unit:
Pm 0.0263 0.4422 0.2484 x2  4 Y 3.34-3.35, 2 Pr 3.37-3.38, 4 Pm 3.58-3.64
Pm 0.3439 0.8057 0.2500 x2  4 Pm 3.58-3.64, 7 Y 3.69-3.91, 1 Pr 3.86
Pr 0.5000 0.5000 0.5000 x1  4 Pm 3.37-3.38, 2 Pr 3.58, 4 Y 3.60-3.61
Y 0.1750 0.1522 0.0540 x2  2 Pm 3.34-3.73, 6 Y 3.42-3.58
Y 0.1773 0.1491 0.4416 x2  2 Pm 3.35-3.69, 4 Y 3.41-3.58, 2 Pr 3.60-3.61
Y 0.5000 0.5000 0.0000 x1  4 Pm 3.34-3.35, 6 Y 3.57-3.58



arrangement P has the most favorable energy; the next structure is 175 meV/atom above.



Arrangement P

Crystalline Pm6Pr3Y2 at its relaxed geometry. Source: the Alexandria database, functional PBE.

Cell lengths 3.6546, 3.6546, 98.4701 Å; angles 90.00, 90.00, 120.00 degrees
Last column: nearest neighbours and their distance in Å.
Space group R-3m (No. 166, hexagonal axes)
Asymmetric unit:
Pm 0.0000 0.0000 0.0921 x6  3 Y 3.60, 6 Pm 3.65, 3 Pr 3.70
Pm 0.0000 0.0000 0.1818 x6  3 Y 3.61, 9 Pm 3.65-3.66
Pm 0.0000 0.0000 0.3640 x6  6 Pm 3.65, 6 Pr 3.68
Pr 0.0000 0.0000 0.0000 x3  6 Pr 3.65, 6 Pm 3.68
Pr 0.0000 0.0000 0.2721 x6  6 Pr 3.65, 6 Pm 3.68-3.70
Y 0.0000 0.0000 0.4551 x6  6 Pm 3.60-3.61, 6 Y 3.65



Arrangement Q

Crystalline Pm6Pr3Y2 at its relaxed geometry. Source: the Alexandria database, functional PBE.

Cell lengths 5.9254, 5.9254, 22.9368 Å; angles 90.00, 90.00, 90.00 degrees
Last column: nearest neighbours and their distance in Å.
Space group I4/mmm (No. 139)
Asymmetric unit:
Pm 0.0000 0.0000 0.2116 x4  1 Pr 3.07, 1 Y 3.40
Pm 0.0000 0.5000 0.1086 x8  2 Y 3.14, 2 Pr 3.14
Pr 0.0000 0.0000 0.3455 x4  5 Pm 3.07-3.14
Pr 0.0000 0.0000 0.5000 x2  2 Pr 3.54, 8 Pm 3.87
Y 0.0000 0.0000 0.0633 x4  1 Y 2.90, 4 Pm 3.14



arrangement P has the most favorable energy; the next structure is 484 meV/atom above.



Arrangement P

Crystalline Pm2Pr5Y3 at its relaxed geometry. Source: the Alexandria database, functional PBE.

Cell lengths 11.0154, 14.9013, 10.1998 Å; angles 90.00, 122.57, 90.00 degrees
Last column: nearest neighbours and their distance in Å.
Space group C2/c (No. 15)
Asymmetric unit:
Pm 0.1535 0.1265 0.0609 x8  3 Y 3.31-3.58, 4 Pr 3.39-3.59
Pr 0.0000 0.0137 0.2500 x4  3 Pr 3.14-3.50, 2 Pm 3.39
Pr 0.0000 0.2247 0.2500 x4  3 Pr 3.14-3.49, 2 Y 3.44, 2 Pm 3.50
Pr 0.0000 0.4757 0.7500 x4  3 Y 3.10-3.44
Pr 0.2435 0.3722 0.2439 x8  3 Y 3.49-3.80, 3 Pr 3.49-3.54, 2 Pm 3.84-3.89
Y 0.0000 0.2680 0.7500 x4  1 Pr 3.10, 2 Pm 3.40
Y 0.1529 0.3747 0.5544 x8  1 Pm 3.31, 5 Pr 3.44-3.63, 1 Y 3.60



Arrangement Q

Crystalline Pm2Pr5Y3 at its relaxed geometry. Source: the Alexandria database, functional PBE.

Cell lengths 12.3491, 17.4601, 6.5660 Å; angles 90.00, 90.00, 90.00 degrees
Last column: nearest neighbours and their distance in Å.
Space group Ibam (No. 72)
Asymmetric unit:
Pm 0.0846 0.1690 0.0000 x8  1 Pr 3.43, 3 Y 3.53-3.57
Pr 0.0000 0.5000 0.2500 x4  4 Pr 3.12-3.28
Pr 0.2448 0.3298 0.0000 x8  2 Pr 3.40, 1 Pm 3.43, 3 Y 3.48-3.80
Pr 0.2473 0.0000 0.2500 x8  1 Y 3.05, 5 Pr 3.12-3.40
Y 0.0000 0.0000 0.2500 x4  2 Pr 3.05, 2 Y 3.28
Y 0.0901 0.3320 0.5000 x8  5 Pr 3.48-3.80, 1 Pm 3.57



arrangement P has the most favorable energy; the next structure is 94 meV/atom above.



Arrangement P

Crystalline PmPr2Y5 at its relaxed geometry. Source: the Alexandria database, functional PBE.

Cell lengths 7.2285, 14.4626, 5.1142 Å; angles 90.00, 90.00, 90.00 degrees
Last column: nearest neighbours and their distance in Å.
Space group Pbam (No. 55)
Asymmetric unit:
Pm 0.0000 0.0000 0.0000 x2  8 Y 3.61-3.62, 4 Pr 3.62
Pr 0.2490 0.3748 0.5000 x4  10 Y 3.61-3.62, 2 Pm 3.62
Y 0.0000 0.5000 0.0000 x2  6 Y 3.61-3.62, 4 Pr 3.61, 2 Pm 3.61
Y 0.0016 0.7498 0.0000 x4  7 Y 3.61-3.62, 4 Pr 3.61, 1 Pm 3.62
Y 0.2482 0.1250 0.5000 x4  4 Pr 3.61-3.62, 2 Pm 3.61, 6 Y 3.62



Arrangement Q

Crystalline PmPr2Y5 at its relaxed geometry. Source: the Alexandria database, functional PBE.

Cell lengths 16.3882, 10.0262, 6.6190 Å; angles 90.00, 98.45, 90.00 degrees
Last column: nearest neighbours and their distance in Å.
Space group C2/c (No. 15)
Asymmetric unit:
Pm 0.2500 0.2500 0.0000 x4  2 Pr 3.02
Pr 0.0787 0.2469 0.1176 x8  1 Pm 3.02, 2 Y 3.22-3.37, 1 Pr 3.33
Y 0.0000 0.4395 0.7500 x4  4 Pr 3.22-3.56, 2 Y 3.53
Y 0.0993 0.0873 0.6462 x8  3 Pr 3.37-3.57, 1 Pm 3.54, 5 Y 3.67-3.76
Y 0.1976 0.4109 0.5266 x8  1 Pr 3.50, 2 Pm 3.52, 7 Y 3.67-3.79



arrangement P has the most favorable energy; the next structure is 134 meV/atom above.



Arrangement P

Crystalline PmPr2Y2 at its relaxed geometry. Source: the Alexandria database, functional PBE.

Cell lengths 3.6536, 3.6617, 14.9164 Å; angles 82.96, 83.05, 60.07 degrees
Last column: nearest neighbours and their distance in Å.
Space group P-1 (No. 2)
Asymmetric unit:
Pm 0.0000 0.0000 0.0000 x1  6 Y 3.58-3.59, 6 Pm 3.65-3.66
Pr 0.1299 0.1325 0.6049 x2  3 Y 3.62, 9 Pr 3.65-3.76
Y 0.3970 0.4011 0.8039 x2  3 Pm 3.58-3.59, 3 Pr 3.62, 6 Y 3.65-3.66



Arrangement Q

Crystalline PmPr2Y2 at its relaxed geometry. Source: the Alexandria database, functional PBE.

Cell lengths 5.4166, 12.0447, 23.2895 Å; angles 90.00, 90.00, 90.00 degrees
Last column: nearest neighbours and their distance in Å.
Space group Fddd (No. 70, origin choice 2)
Asymmetric unit:
Pm 0.1250 0.1250 0.1250 x8  4 Pr 3.35, 4 Y 3.39
Pr 0.0000 0.0000 0.0000 x16  2 Pr 3.30, 2 Pm 3.35, 2 Y 3.59
Y 0.1250 0.2946 0.6250 x16  2 Y 3.33, 2 Pm 3.39, 2 Pr 3.59



arrangement P has the most favorable energy; the next structure is 439 meV/atom above.



Arrangement P

Crystalline Pm7PrY4 at its relaxed geometry. Source: the Alexandria database, functional PBE.

Cell lengths 6.3448, 7.3216, 9.0271 Å; angles 90.00, 103.63, 90.04 degrees
Last column: nearest neighbours and their distance in Å.
Space group P-1 (No. 2)
Asymmetric unit:
Pm 0.0000 0.0000 0.0000 x1  4 Y 3.60-3.61, 6 Pm 3.62-3.66, 2 Pr 3.66
Pm 0.2220 0.4998 0.6656 x2  6 Pm 3.59-3.67, 5 Y 3.61-3.68, 1 Pr 3.62
Pm 0.2791 0.2496 0.3352 x2  6 Y 3.58-3.69, 5 Pm 3.59-3.67, 1 Pr 3.62
Pm 0.4989 0.2473 0.9998 x2  3 Y 3.61, 7 Pm 3.62-3.70, 2 Pr 3.67-3.68
Pr 0.0000 0.5000 0.0000 x1  10 Pm 3.62-3.68, 2 Y 3.62
Y 0.2199 0.9998 0.6655 x2  4 Y 3.58-3.65, 8 Pm 3.59-3.67
Y 0.2794 0.7529 0.3340 x2  8 Pm 3.58-3.69, 3 Y 3.59-3.65, 1 Pr 3.62



Arrangement Q

Crystalline Pm7PrY4 at its relaxed geometry. Source: the Alexandria database, functional PBE.

Cell lengths 12.1538, 6.0546, 12.8442 Å; angles 90.00, 118.18, 90.00 degrees
Last column: nearest neighbours and their distance in Å.
Space group C2/m (No. 12)
Asymmetric unit:
Pm 0.0000 0.0000 0.0000 x2  2 Pr 3.03, 2 Pm 3.18
Pm 0.0604 0.5000 0.3281 x4  4 Pm 3.33-3.62, 3 Y 3.69-3.71
Pm 0.1301 0.0000 0.5024 x4  2 Pm 3.13-3.34, 3 Y 3.32-3.50
Pm 0.2095 0.5000 0.9203 x4  1 Pr 3.16, 4 Pm 3.18-3.52, 4 Y 3.31-3.45
Pr 0.0000 0.5000 0.0000 x2  4 Pm 3.03-3.16
Y 0.1359 0.0000 0.7754 x4  7 Pm 3.44-3.69, 2 Y 3.75
Y 0.2503 0.0000 0.3174 x4  5 Pm 3.31-3.71



arrangement P has the most favorable energy; the next structure is 237 meV/atom above.



Arrangement P

Crystalline PmPr3Y3 at its relaxed geometry. Source: the Alexandria database, functional PBE.

Cell lengths 10.7754, 10.7754, 7.2312 Å; angles 90.00, 90.00, 120.00 degrees
Last column: nearest neighbours and their distance in Å.
Space group R3m (No. 160, hexagonal axes)
Asymmetric unit:
Pm 0.0000 0.0000 0.0000 x3  3 Pr 3.02
Pr 0.1875 0.3749 0.8473 x9  1 Pm 3.02
Y 0.2114 0.4228 0.3132 x9  5 Pr 3.40-3.63, 1 Pm 3.42



Arrangement Q

Crystalline PmPr3Y3 at its relaxed geometry. Source: the Alexandria database, functional PBE.

Cell lengths 9.4962, 9.4962, 18.8738 Å; angles 90.00, 90.00, 120.00 degrees
Last column: nearest neighbours and their distance in Å.
Space group R-3 (No. 148, hexagonal axes)
Asymmetric unit:
Pm 0.0000 0.0000 0.0915 x6  1 Pm 3.45, 6 Y 3.50-3.60, 3 Pr 3.56
Pr 0.0511 0.8096 0.5762 x18  5 Y 3.44-3.63, 4 Pr 3.56-3.63, 1 Pm 3.56
Y 0.0494 0.8128 0.7586 x18  5 Pr 3.44-3.63, 3 Y 3.49-3.56, 2 Pm 3.50-3.60



arrangement Q has the most favorable energy; the next structure is 116 meV/atom above.